Record 1
DFT (GGA-PBE) results for GdGaIr after structural relaxation.

Cell lengths 4.3397, 4.3397, 3.7979 Å; angles 90.00, 90.00, 120.00 degrees
Atoms (fractional coordinates):
Gd (0.0000, 0.0000, 0.0000)
Ga (0.3333, 0.6667, 0.5000)
Ir (0.6667, 0.3333, 0.5000)

Computed properties:
Calculated formation energy, meV per atom: -732
DOS at the Fermi energy, states/eV/atom: 0.73

Record 2
DFT (GGA-PBE) results for Cs2BaP2O6 after structural relaxation.

Cell lengths 7.2425, 7.2425, 7.2425 Å; angles 52.18, 52.18, 52.18 degrees
Atoms (fractional coordinates):
Cs (0.2275, 0.2275, 0.2275)
Cs (0.7725, 0.7725, 0.7725)
Ba (0.0000, 0.0000, 0.0000)
P (0.4406, 0.4406, 0.4406)
P (0.5594, 0.5594, 0.5594)
O (0.2822, 0.2822, 0.6856)
O (0.2822, 0.6856, 0.2822)
O (0.3144, 0.7178, 0.7178)
O (0.6856, 0.2822, 0.2822)
O (0.7178, 0.3144, 0.7178)
O (0.7178, 0.7178, 0.3144)

Computed properties:
Formation energy from raw total energies, eV per atom: -2.397
DOS at the Fermi energy, states/eV/atom: 0.00

Record 3
DFT (GGA-PBE) results for CdOs2Br after structural relaxation.

Cell lengths 7.0886, 7.0886, 7.0886 Å; angles 150.26, 150.26, 42.56 degrees
Atoms (fractional coordinates):
Cd (0.0000, 0.0000, 0.0000)
Os (0.2500, 0.7500, 0.5000)
Os (0.7500, 0.2500, 0.5000)
Br (0.5000, 0.5000, 0.0000)

Computed properties:
Distance to the lowest polymorph of the same formula, eV/atom: 0.9529
Formation energy from raw total energies, eV per atom: 1.388
DOS at the Fermi energy, states/eV/atom: 1.10

no.,total DFT energy (no corrections) (eV/atom)
1,-9.39
2,-6.42
3,-4.87